Li3Tl2Ag | the Open Quantum Materials Database | PBE-GGA | optimized geometry; DFT total energy = -2.44 eV/atom
1.0
3.345 0.000 0.000
0.000 3.345 0.000
0.000 0.000 10.112
Tl Li Ag
2 3 1
Direct
0.500 0.500 0.183
0.500 0.500 0.817
0.000 0.000 0.000
0.000 0.000 0.643
0.000 0.000 0.357
0.500 0.500 0.500

PrNdIn2Ni4 | the Open Quantum Materials Database | PBE-GGA | optimized geometry; DFT total energy = -5.01 eV/atom
1.0
4.457 0.000 0.000
-2.228 3.859 0.000
0.000 0.000 8.995
In Pr Ni Nd
2 1 4 1
Direct
0.667 0.333 0.752
0.667 0.333 0.248
0.000 0.000 0.500
0.000 0.000 0.179
0.333 0.667 0.317
0.333 0.667 0.683
0.000 0.000 0.821
0.333 0.667 0.000

ErCo | the Open Quantum Materials Database | PBE-GGA | optimized geometry; calculated formation energy = 191.7 meV per atom
1.0
-2.426 2.563 0.271
-0.995 -3.301 -0.799
-0.384 -0.736 3.521
Er Co
1 1
Direct
0.333 0.667 0.250
0.667 0.333 0.750

Ho3Mg3TlIr2 | the Open Quantum Materials Database | PBE-GGA | optimized geometry; DFT total energy = -4.76 eV/atom
1.0
7.379 0.000 0.000
-3.690 6.391 0.000
0.000 0.000 4.189
Ho Ir Mg Tl
3 2 3 1
Direct
0.426 0.000 0.000
0.574 0.574 0.000
0.000 0.426 0.000
0.667 0.333 0.500
0.333 0.667 0.500
0.262 0.262 0.500
0.738 0.000 0.500
0.000 0.738 0.500
0.000 0.000 0.000

HIr2 | the Open Quantum Materials Database | PBE-GGA | optimized geometry; DFT total energy = -5.47 eV/atom
1.0
-4.556 -3.071 0.374
0.390 -5.488 0.232
-1.159 -2.647 4.688
Ir H
4 2
Direct
0.375 0.375 0.875
0.375 0.375 0.375
0.375 0.875 0.375
0.875 0.375 0.375
0.500 0.500 0.500
0.250 0.250 0.250

HfZnFe | the Open Quantum Materials Database | PBE-GGA | optimized geometry; calculated formation energy = 712.7 meV per atom
1.0
0.000 3.027 3.027
3.027 0.000 3.027
3.027 3.027 0.000
Fe Zn Hf
1 1 1
Direct
0.250 0.250 0.250
0.750 0.750 0.750
0.000 0.000 0.000

Ag2Cl3 | the Open Quantum Materials Database | PBE-GGA | optimized geometry; distance to the lowest polymorph of the same formula = 0.10 eV per formula unit
1.0
-3.431 6.167 -0.070
-2.793 2.848 5.822
2.619 5.828 2.999
Ag Cl
4 6
Direct
0.750 0.750 0.750
0.250 0.250 0.250
0.000 0.000 0.000
0.500 0.500 0.500
0.250 0.879 0.621
0.750 0.121 0.379
0.379 0.750 0.121
0.621 0.250 0.879
0.879 0.621 0.250
0.121 0.379 0.750

HoPuB | the Open Quantum Materials Database | PBE-GGA | optimized geometry; distance to the lowest polymorph of the same formula = 0.00 eV per formula unit
1.0
0.000 3.134 3.134
3.134 0.000 3.134
3.134 3.134 0.000
Ho B Pu
1 1 1
Direct
0.250 0.250 0.250
0.000 0.000 0.000
0.750 0.750 0.750

KDyTeS | the Open Quantum Materials Database | PBE-GGA | optimized geometry; DFT total energy = -4.85 eV/atom
1.0
2.122 1.225 7.850
-2.122 1.225 7.850
0.000 -2.451 7.850
Dy Te S K
1 1 1 1
Direct
0.991 0.991 0.991
0.736 0.736 0.736
0.266 0.266 0.266
0.507 0.507 0.507

LaNdAlIr2 | the Open Quantum Materials Database | PBE-GGA | optimized geometry; DFT total energy = -7.02 eV/atom
1.0
-2.923 2.305 4.399
2.006 5.402 0.070
-2.849 -3.422 -3.658
Ir Nd La Al
2 1 1 1
Direct
0.256 0.501 0.756
0.745 0.501 0.244
0.697 0.197 0.500
0.301 0.801 0.500
0.000 0.000 0.000

Sr2TcIr | the Open Quantum Materials Database | PBE-GGA | optimized geometry; DFT total energy = -4.91 eV/atom
1.0
2.274 -3.691 2.625
-2.181 -1.845 4.187
-1.943 -4.681 -0.007
Sr Tc Ir
2 1 1
Direct
0.000 0.000 0.000
0.250 0.250 0.250
0.750 0.750 0.750
0.500 0.500 0.500

Nb4Si6Ni3 | the Open Quantum Materials Database | PBE-GGA | optimized geometry; DFT total energy = -7.24 eV/atom
1.0
-7.276 -3.819 3.310
-6.570 0.318 5.934
-8.717 0.549 1.480
Ni Si Nb
3 6 4
Direct
0.000 0.000 0.000
0.451 0.451 0.451
0.549 0.549 0.549
0.091 0.091 0.585
0.415 0.909 0.909
0.909 0.415 0.909
0.909 0.909 0.415
0.585 0.091 0.091
0.091 0.585 0.091
0.165 0.165 0.165
0.653 0.653 0.653
0.835 0.835 0.835
0.347 0.347 0.347

TmHg2BiO6 | the Open Quantum Materials Database | PBE-GGA | optimized geometry; DFT total energy = -5.11 eV/atom
1.0
5.148 0.000 0.000
-1.137 5.355 0.000
-1.910 -1.032 5.360
O Tm Hg Bi
6 1 2 1
Direct
0.859 0.793 0.276
0.740 0.256 0.982
0.376 0.308 0.272
0.141 0.207 0.724
0.624 0.692 0.728
0.260 0.744 0.018
0.000 0.000 0.000
0.245 0.732 0.484
0.755 0.268 0.516
0.500 0.500 0.000

SrLuSc2 | the Open Quantum Materials Database | PBE-GGA | optimized geometry; DFT total energy = -4.37 eV/atom
1.0
0.000 3.921 3.921
3.921 0.000 3.921
3.921 3.921 0.000
Sr Sc Lu
1 2 1
Direct
0.750 0.750 0.750
0.250 0.250 0.250
0.000 0.000 0.000
0.500 0.500 0.500

ThTlHg | the Open Quantum Materials Database | PBE-GGA | optimized geometry; distance to the lowest polymorph of the same formula = 0.00 eV per formula unit
1.0
3.571 -2.827 2.197
1.591 1.115 4.668
-1.197 -3.027 3.869
Hg Th Tl
1 1 1
Direct
0.000 0.000 0.000
0.250 0.250 0.250
0.750 0.750 0.750

La7Fe3 | the Open Quantum Materials Database | PBE-GGA | optimized geometry; calculated formation energy = 97.2 meV per atom
1.0
9.886 0.000 0.000
-4.943 8.561 0.000
0.000 0.000 6.363
Fe La
6 14
Direct
0.815 0.630 0.049
0.370 0.185 0.049
0.815 0.185 0.049
0.185 0.815 0.549
0.630 0.815 0.549
0.185 0.370 0.549
0.126 0.874 0.001
0.252 0.126 0.501
0.081 0.540 0.329
0.333 0.667 0.768
0.874 0.748 0.501
0.126 0.252 0.001
0.667 0.333 0.268
0.540 0.081 0.829
0.460 0.540 0.329
0.919 0.460 0.829
0.748 0.874 0.001
0.460 0.919 0.329
0.540 0.460 0.829
0.874 0.126 0.501

Zr2SiGePt2 | the Open Quantum Materials Database | PBE-GGA | optimized geometry; DFT total energy = -7.55 eV/atom
1.0
10.690 0.000 0.000
0.000 4.363 0.000
-3.555 0.000 10.082
Ge Zr Pt Si
4 8 8 4
Direct
0.000 0.500 0.750
0.874 0.000 0.374
0.625 0.000 0.625
0.375 0.000 0.875
0.000 0.500 0.252
0.502 0.500 0.750
0.125 0.000 0.623
0.374 0.000 0.374
0.250 0.500 0.000
0.748 0.500 0.498
0.623 0.000 0.124
0.878 0.000 0.878
0.745 0.500 0.246
0.630 0.000 0.879
0.251 0.500 0.745
0.001 0.500 0.006
0.128 0.000 0.374
0.875 0.000 0.625
0.373 0.000 0.127
0.496 0.500 0.497
0.499 0.500 0.249
0.125 0.000 0.126
0.751 0.500 0.001
0.251 0.500 0.500

KSmYCu2 | the Open Quantum Materials Database | PBE-GGA | optimized geometry; DFT total energy = -3.94 eV/atom
1.0
3.792 0.000 0.000
0.000 2.171 8.681
0.000 -2.171 8.681
Cu Y Sm K
2 1 1 1
Direct
0.000 0.792 0.792
0.000 0.206 0.206
0.500 0.668 0.668
0.500 0.332 0.332
0.000 0.001 0.001

LiAlFeMo | the Open Quantum Materials Database | PBE-GGA | optimized geometry; distance to the lowest polymorph of the same formula = 1.78 eV per formula unit
1.0
0.000 3.007 3.007
3.007 0.000 3.007
3.007 3.007 0.000
Fe Mo Al Li
1 1 1 1
Direct
0.750 0.750 0.750
0.250 0.250 0.250
0.000 0.000 0.000
0.500 0.500 0.500

NaBPdPb | the Open Quantum Materials Database | PBE-GGA | optimized geometry; distance to the lowest polymorph of the same formula = 0.00 eV per formula unit
1.0
-1.437 -3.769 2.356
-3.927 -2.189 -1.266
0.216 -4.220 -1.990
B Na Pd Pb
1 1 1 1
Direct
0.500 0.500 0.500
0.750 0.750 0.750
0.000 0.000 0.000
0.250 0.250 0.250